# SnPd2N | Alexandria | PBE | optimized geometry
# Uncorrected energy in eV per atom: -5.3907
# Raw formation energy in meV per atom: 288
# Offset from the most stable computed form in eV/atom: 0.0000
data_SnPd2N
_chemical_formula_sum 'Sn2 Pd4 N2'
_cell_length_a 4.995
_cell_length_b 4.995
_cell_length_c 6.918
_cell_angle_alpha 68.84
_cell_angle_beta 68.84
_cell_angle_gamma 90.00
_symmetry_space_group_name_H-M 'P 1'
_symmetry_Int_Tables_number 1
_symmetry_space_group_name_Hall 'P 1'
loop_
_atom_site_label
_atom_site_type_symbol
_atom_site_fract_x
_atom_site_fract_y
_atom_site_fract_z
Pd1 Pd 0.875 0.743 0.750
Pd2 Pd 0.375 0.507 0.750
Pd3 Pd 0.493 0.125 0.250
Pd4 Pd 0.257 0.625 0.250
N1 N 0.500 0.500 0.000
N2 N 0.250 0.750 0.500
Sn1 Sn 0.750 0.250 0.500
Sn2 Sn 0.000 0.000 0.000